A relaxed structure of TaCd2Br, computed with GGA-PBE.

Cell lengths 3.107, 3.107, 11.107 Å; angles 90.00, 90.00, 116.34 degrees
Atoms (fractional coordinates):
Cd 0.000 0.000 0.038
Cd 0.500 0.500 0.278
Br 0.500 0.500 0.685
Ta 0.000 0.000 0.499

Computed properties:
- Offset from the most stable computed form: 171 meV/atom
- Uncorrected formation energy: 183 meV/atom
- Total moment: 0.00 μB per formula unit
- E_tot: -14.63 eV per cell